! Cs2CoSeO4 | Alexandria | PBE+U | optimized geometry; values from VASP
&SYSTEM
  ibrav = 0, nat = 16, ntyp = 4
/
ATOMIC_SPECIES
Cs 132.91 Cs.upf
Co 58.93 Co.upf
Se 78.96 Se.upf
O 16.00 O.upf
ATOMIC_POSITIONS angstrom
Cs 2.166 4.565 1.022
Cs 3.610 7.609 6.832
Cs 2.166 4.565 16.405
Cs 3.610 7.609 22.214
Co 0.722 1.522 2.905
Co 5.054 10.653 20.332
Se 2.166 4.565 8.714
Se 3.610 7.609 14.523
O 3.747 4.563 7.456
O 3.747 4.568 9.971
O 5.191 7.611 13.265
O 5.191 7.607 15.780
O 0.585 4.568 7.456
O 0.585 4.563 9.971
O 2.029 7.607 13.265
O 2.029 7.611 15.780
CELL_PARAMETERS angstrom
0.000 6.087 11.618
2.888 0.000 11.618
2.888 6.087 0.000
! Total magnetization ... 4.90 μB per cell
! SG ... Fddd, No. 70
! Total energy ... -0.1751 Ha/atom